1.
A PBEsol-optimized structure of Ca2HO. Source: Alexandria, functional meta-GGA SCAN.

Output
Energy in hartree per atom: -0.32432

Cell lengths 5.4780, 5.4780, 6.3787 Å; angles 115.43, 115.43, 90.00 degrees
Last column: magnetic moment on the atom in μB.
Positions (direct):
H (0.7500, 0.2500, 0.5000)  -0.01
H (0.5000, 0.5000, 0.0000)  -0.01
Ca (0.3465, 0.8750, 0.2500)  0.08
Ca (0.9035, 0.3750, 0.2500)  0.08
Ca (0.1250, 0.0965, 0.7500)  0.08
Ca (0.6250, 0.6535, 0.7500)  0.08
O (0.2500, 0.7500, 0.5000)  0.02
O (0.0000, 0.0000, 0.0000)  0.02

2.
A PBEsol-optimized structure of TaAuSCl2. Source: Alexandria, functional meta-GGA SCAN.

Output
Raw formation energy in eV/atom: 0.937

Cell lengths 4.7679, 4.7679, 4.8642 Å; angles 90.00, 90.00, 90.00 degrees
Last column: magnetic moment on the atom in μB.
Positions (direct):
S (0.0000, 0.0000, 0.5000)  -0.10
Cl (0.0000, 0.5000, 0.0000)  0.01
Cl (0.5000, 0.0000, 0.0000)  0.01
Au (0.0000, 0.0000, 0.0000)  0.01
Ta (0.5000, 0.5000, 0.5000)  2.15

> Number 2 is which compound?

TaAuSCl2